(1)
The following is a DFT calculation (PBE-GGA) of a geometry-optimized Nd2HoGa2Ag2 structure.

* formation energy: -0.373 eV/atom

Geometry as POSCAR:
```
Nd2HoGa2Ag2
1.0
2.313 1.335 9.188
-2.313 1.335 9.188
0.000 -2.671 9.188
Nd Ho Ga Ag
2 1 2 2
Direct
0.125 0.125 0.125
0.875 0.875 0.875
0.000 0.000 0.000
0.264 0.264 0.264
0.736 0.736 0.736
0.391 0.391 0.391
0.609 0.609 0.609
```

(2)
The following is a DFT calculation (PBE-GGA) of a geometry-optimized Dy2ErSbC structure.

* E_form (uncorrected): -14.4 kcal/mol of atoms

Geometry as POSCAR:
```
Dy2ErSbC
1.0
4.878 0.000 0.000
0.000 4.878 0.000
0.000 0.000 4.813
Dy Er Sb C
2 1 1 1
Direct
0.000 0.500 0.000
0.500 0.000 0.000
0.000 0.000 0.500
0.500 0.500 0.500
0.000 0.000 0.000
```

(3)
The following is a DFT calculation (PBE-GGA) of a geometry-optimized Ba3VCu2S6 structure.

* E_form (uncorrected): -25.6 kcal/mol of atoms

Geometry as POSCAR:
```
Ba3VCu2S6
1.0
7.054 0.000 0.000
-3.527 6.109 0.000
0.000 0.000 7.885
Ba V Cu S
3 1 2 6
Direct
0.000 0.000 0.000
0.333 0.667 0.652
0.667 0.333 0.348
0.000 0.000 0.500
0.333 0.667 0.270
0.667 0.333 0.730
0.157 0.313 0.308
0.157 0.843 0.308
0.313 0.157 0.692
0.687 0.843 0.308
0.843 0.157 0.692
0.843 0.687 0.692
```

(4)
The following is a DFT calculation (PBE-GGA) of a geometry-optimized DyCuPt3 structure.

* formation energy: -0.581 eV/atom

Geometry as POSCAR:
```
DyCuPt3
1.0
4.453 0.000 0.000
0.000 6.456 0.000
0.000 0.000 6.144
Dy Cu Pt
2 2 6
Direct
0.250 0.250 0.237
0.750 0.750 0.763
0.250 0.750 0.449
0.750 0.250 0.551
0.250 0.049 0.722
0.250 0.451 0.722
0.250 0.750 0.049
0.750 0.250 0.951
0.750 0.549 0.278
0.750 0.951 0.278
```

Repeat the first record exactly.
The following is a DFT calculation (PBE-GGA) of a geometry-optimized Nd2HoGa2Ag2 structure.

* formation energy: -0.373 eV/atom

Geometry as POSCAR:
```
Nd2HoGa2Ag2
1.0
2.313 1.335 9.188
-2.313 1.335 9.188
0.000 -2.671 9.188
Nd Ho Ga Ag
2 1 2 2
Direct
0.125 0.125 0.125
0.875 0.875 0.875
0.000 0.000 0.000
0.264 0.264 0.264
0.736 0.736 0.736
0.391 0.391 0.391
0.609 0.609 0.609
```